{"formula": "ScCd2Rh", "functional": "PBE", "state": "optimized geometry", "formation_energy_ev_per_fu": -1.38, "energy_ev_per_atom": -4.224, "magnetic_moment_mub_per_cell": 0.0, "sg": "No. 216", "lattice": [[-1.9043, 0.5175, -4.3040], [-4.4928, -1.2806, -0.7705], [-3.3092, 3.3039, -0.7429]], "species": ["Sc", "Rh", "Cd", "Cd"], "fractional_positions": [[0.7500, 0.7500, 0.7500], [0.5000, 0.5000, 0.5000], [0.2500, 0.2500, 0.2500], [0.0000, 0.0000, 0.0000]]}

{"formula": "HoZrOsRu", "functional": "PBE", "state": "optimized geometry", "formation_energy_ev_per_fu": -1.67, "energy_ev_per_atom": -8.826, "magnetic_moment_mub_per_cell": 0.0, "sg": "No. 216", "de_polymorph_mev_per_atom": 22, "lattice": [[-1.7761, 2.5896, 3.5098], [-3.9707, -1.3472, 2.1442], [0.1426, -1.6135, 4.4222]], "species": ["Ho", "Ru", "Zr", "Os"], "fractional_positions": [[0.5000, 0.5000, 0.5000], [0.7500, 0.7500, 0.7500], [0.0000, 0.0000, 0.0000], [0.2500, 0.2500, 0.2500]]}

{"formula": "Al2AgRu", "functional": "PBE", "state": "optimized geometry", "formation_energy_ev_per_fu": -0.80, "energy_ev_per_atom": -5.102, "magnetic_moment_mub_per_cell": 0.0, "sg": "No. 99", "lattice": [[-0.5102, 2.2192, -2.4147], [2.2831, -1.5140, -1.8738], [-3.9785, -3.2936, -2.1863]], "species": ["Ru", "Al", "Ag", "Al"], "fractional_positions": [[0.0000, 0.0000, 0.4519], [0.0000, 0.0000, 0.9956], [0.5000, 0.5000, 0.7716], [0.5000, 0.5000, 0.2809]]}

{"formula": "ScAl2Zn", "functional": "PBE", "state": "optimized geometry", "formation_energy_ev_per_fu": -0.22, "energy_ev_per_atom": -3.827, "magnetic_moment_mub_per_cell": 0.0, "sg": "No. 166", "lattice": [[-8.9220, -2.5359, -1.8737], [-7.7183, -5.2735, -1.4701], [-8.6710, -3.6786, 0.9079]], "species": ["Al", "Sc", "Al", "Zn"], "fractional_positions": [[0.4951, 0.4951, 0.4951], [0.2500, 0.2500, 0.2500], [0.0049, 0.0049, 0.0049], [0.7500, 0.7500, 0.7500]]}

{"formula": "CaLaGdSc", "functional": "PBE", "state": "optimized geometry", "formation_energy_ev_per_fu": 0.55, "energy_ev_per_atom": -6.697, "magnetic_moment_mub_per_cell": 7.3, "sg": "No. 216", "lattice": [[5.7253, 0.0000, 0.0000], [2.8626, 4.9582, 0.0000], [2.8626, 1.6527, 4.6747]], "species": ["Gd", "La", "Sc", "Ca"], "fractional_positions": [[0.2500, 0.2500, 0.2500], [0.7500, 0.7500, 0.7500], [0.0000, 0.0000, 0.0000], [0.5000, 0.5000, 0.5000]]}

{"formula": "MnZnSbTe2", "functional": "PBE", "state": "optimized geometry", "energy_ev_per_atom": -3.458, "magnetic_moment_mub_per_cell": 4.6, "sg": "No. 123", "raw_formation_energy_ev_per_atom": 0.711, "de_polymorph_mev_per_atom": 296, "lattice": [[5.3841, 0.0000, 0.0000], [0.0000, 5.3841, 0.0000], [0.0000, 0.0000, 5.0717]], "species": ["Te", "Zn", "Sb", "Mn", "Te"], "fractional_positions": [[0.5000, 0.0000, 0.0000], [0.0000, 0.0000, 0.0000], [0.0000, 0.0000, 0.5000], [0.5000, 0.5000, 0.5000], [0.0000, 0.5000, 0.0000]]}

{"formula": "SrOsSe", "functional": "PBE", "state": "optimized geometry", "energy_ev_per_atom": -5.616, "magnetic_moment_mub_per_cell": 0.0, "sg": "No. 187", "raw_formation_energy_ev_per_atom": -0.150, "de_polymorph_mev_per_atom": 0, "lattice": [[4.2023, 0.0000, 0.0000], [-2.1011, 3.6393, 0.0000], [0.0000, 0.0000, 4.6689]], "species": ["Sr", "Os", "Se"], "fractional_positions": [[0.3333, 0.6667, 0.6666], [0.0000, 0.0000, 0.1667], [0.6667, 0.3333, 0.1667]]}

{"formula": "PmMg2NpN4", "functional": "PBE", "state": "optimized geometry", "energy_ev_per_atom": -7.782, "magnetic_moment_mub_per_cell": 2.0, "sg": "No. 10", "raw_formation_energy_ev_per_atom": -1.009, "lattice": [[-1.2150, -3.1712, 0.4668], [4.9997, -1.6280, 1.9537], [0.3264, 0.7488, 5.9363]], "species": ["N", "Mg", "N", "N", "N", "Pm", "Mg", "Np"], "fractional_positions": [[0.0000, 0.7339, 0.7154], [0.0000, 0.0000, 0.0000], [0.5000, 0.7532, 0.2594], [0.5000, 0.2469, 0.7406], [0.0000, 0.2661, 0.2846], [0.5000, 0.5000, 0.0000], [0.5000, 0.0000, 0.5000], [0.0000, 0.5000, 0.5000]]}